! Ca2InSn2Pd5 (GGA-PBE, optimized geometry); values from VASP
! E, eV/cell: -93.6
! Energy of formation from the pure elements, eV/atom: -0.611
! DOS at the Fermi energy, states/eV per atom: 0.385
! Crystal system: tetragonal
! Symmetry: P4/mbm
&SYSTEM
  ibrav = 0, nat = 20, ntyp = 4
/
ATOMIC_SPECIES
Ca 40.08 Ca.upf
In 114.82 In.upf
Sn 118.71 Sn.upf
Pd 106.42 Pd.upf
CELL_PARAMETERS angstrom
10.7369 0.0000 0.0000
0.0000 10.7369 0.0000
0.0000 0.0000 3.5924
ATOMIC_POSITIONS crystal
Ca 0.1693 0.3307 0.0000
Ca 0.3307 0.8307 0.0000
Ca 0.6693 0.1693 0.0000
Ca 0.8307 0.6693 0.0000
In 0.0000 0.0000 0.0000
In 0.5000 0.5000 0.0000
Sn 0.1318 0.6318 0.0000
Sn 0.3682 0.1318 0.0000
Sn 0.6318 0.8682 0.0000
Sn 0.8682 0.3682 0.0000
Pd 0.0000 0.5000 0.5000
Pd 0.0513 0.8053 0.5000
Pd 0.1947 0.0513 0.5000
Pd 0.3053 0.5513 0.5000
Pd 0.4487 0.3053 0.5000
Pd 0.5000 0.0000 0.5000
Pd 0.5513 0.6947 0.5000
Pd 0.6947 0.4487 0.5000
Pd 0.8053 0.9487 0.5000
Pd 0.9487 0.1947 0.5000